1.
The following is a PBE calculation of crystalline KRbGe2As at its relaxed geometry, from the Alexandria database.

Cell: 5.759 5.759 5.809 Å, 90.00 90.00 90.00°
Space group P4/mmm (No. 123)
Inequivalent atoms, fractional coordinates:
1 K 0.000 0.000 0.000
2 Rb 0.000 0.000 0.500
3 Ge 0.000 0.500 0.500
4 As 0.500 0.500 0.000

Values from the calculation:
Energy relative to the elements = 1.307 eV per atom
Distance to the lowest polymorph of the same formula = 338 meV per atom
Magnetic moment = 0.0 Bohr magnetons per cell

---

2.
The following is a PBE calculation of crystalline K4Rb2GeAs2 at its relaxed geometry, from the Alexandria database.

Cell: 15.421 9.292 5.386 Å, 90.00 110.33 90.00°
Space group C2/m (No. 12)
Inequivalent atoms, fractional coordinates:
1 K 0.133 0.199 0.134
2 Rb 0.142 0.500 0.643
3 Ge 0.000 0.000 0.500
4 As 0.195 0.000 0.695

Values from the calculation:
Energy relative to the elements = -0.109 eV per atom
Magnetic moment = 2.3 Bohr magnetons per cell

---

3.
The following is a PBE calculation of crystalline KRbGe2As at its relaxed geometry, from the Alexandria database.

Cell: 5.761 5.761 5.828 Å, 90.00 90.00 90.00°
Space group P4/mmm (No. 123)
Inequivalent atoms, fractional coordinates:
1 K 0.000 0.000 0.000
2 Rb 0.500 0.500 0.500
3 Ge 0.000 0.500 0.000
4 As 0.000 0.000 0.500

Values from the calculation:
Energy relative to the elements = 0.969 eV per atom
Distance to the lowest polymorph of the same formula = 0 meV per atom
Magnetic moment = 0.0 Bohr magnetons per cell

---

4.
The following is a PBE calculation of crystalline KGe2AsS6 at its relaxed geometry, from the Alexandria database.

Cell: 13.682 12.755 6.755 Å, 90.00 117.58 90.00°
Space group C2/c (No. 15)
Inequivalent atoms, fractional coordinates:
1 K 0.000 0.140 0.250
2 Ge 0.247 0.403 0.163
3 As 0.000 0.260 0.750
4 S 0.065 0.380 0.044
5 S 0.171 0.245 0.684
6 S 0.183 0.035 0.066

Values from the calculation:
Raw formation energy = -0.364 eV per atom
Magnetic moment = 0.0 Bohr magnetons per cell

---

5.
The following is a PBE calculation of crystalline K2GeSbAs at its relaxed geometry, from the Alexandria database.

Cell: 6.563 6.563 5.021 Å, 90.00 90.00 90.00°
Space group P4/mmm (No. 123)
Inequivalent atoms, fractional coordinates:
1 K 0.000 0.500 0.000
2 Ge 0.000 0.000 0.000
3 Sb 0.000 0.000 0.500
4 As 0.500 0.500 0.500

Values from the calculation:
Raw formation energy = 0.363 eV per atom
Magnetic moment = 2.2 Bohr magnetons per cell

---

6.
The following is a PBE calculation of crystalline KGeAs2Se at its relaxed geometry, from the Alexandria database.

Cell: 5.076 5.076 5.348 Å, 90.00 90.00 90.00°
Space group P4/mmm (No. 123)
Inequivalent atoms, fractional coordinates:
1 K 0.000 0.000 0.000
2 Ge 0.500 0.500 0.500
3 As 0.000 0.500 0.500
4 Se 0.500 0.500 0.000

Values from the calculation:
Raw formation energy = 0.183 eV per atom
Distance to the lowest polymorph of the same formula = 0 meV per atom
Magnetic moment = 1.2 Bohr magnetons per cell

---

7.
The following is a PBE calculation of crystalline KGeAs2Se at its relaxed geometry, from the Alexandria database.

Cell: 5.381 5.381 5.519 Å, 90.00 90.00 90.00°
Space group P4/mmm (No. 123)
Inequivalent atoms, fractional coordinates:
1 K 0.000 0.000 0.000
2 Ge 0.500 0.500 0.500
3 As 0.000 0.500 0.000
4 Se 0.000 0.000 0.500

Values from the calculation:
Raw formation energy = 1.434 eV per atom
Distance to the lowest polymorph of the same formula = 1252 meV per atom
Magnetic moment = 0.0 Bohr magnetons per cell

---

8.
The following is a PBE calculation of crystalline KGeAsSe2 at its relaxed geometry, from the Alexandria database.

Cell: 5.261 5.261 4.992 Å, 90.00 90.00 90.00°
Space group P4/mmm (No. 123)
Inequivalent atoms, fractional coordinates:
1 K 0.000 0.000 0.000
2 Ge 0.500 0.500 0.500
3 As 0.500 0.500 0.000
4 Se 0.000 0.500 0.500

Values from the calculation:
Raw formation energy = -0.024 eV per atom
Distance to the lowest polymorph of the same formula = 0 meV per atom
Magnetic moment = 0.9 Bohr magnetons per cell

---

9.
The following is a PBE calculation of crystalline KGeAsSe2 at its relaxed geometry, from the Alexandria database.

Cell: 5.567 5.567 5.325 Å, 90.00 90.00 90.00°
Space group P4/mmm (No. 123)
Inequivalent atoms, fractional coordinates:
1 K 0.000 0.000 0.000
2 Ge 0.500 0.500 0.500
3 As 0.000 0.000 0.500
4 Se 0.000 0.500 0.000

Values from the calculation:
Raw formation energy = 1.233 eV per atom
Distance to the lowest polymorph of the same formula = 1257 meV per atom
Magnetic moment = 0.6 Bohr magnetons per cell

---

10.
The following is a PBE calculation of crystalline K2GeTe4As at its relaxed geometry, from the Alexandria database.

Cell: 8.965 9.137 12.818 Å, 90.00 90.00 90.00°
Space group Imma (No. 74)
Inequivalent atoms, fractional coordinates:
1 K 0.000 0.000 0.000
2 K 0.250 0.250 0.250
3 Ge 0.250 0.250 0.750
4 Te 0.000 0.035 0.732
5 Te 0.215 0.250 0.516
6 As 0.000 0.000 0.500

Values from the calculation:
Raw formation energy = -0.324 eV per atom
Magnetic moment = 0.0 Bohr magnetons per cell

---

11.
The following is a PBE calculation of crystalline KGeTe3As at its relaxed geometry, from the Alexandria database.

Cell: 9.163 4.172 11.384 Å, 90.00 111.07 90.00°
Space group P2_1/m (No. 11)
Inequivalent atoms, fractional coordinates:
1 K 0.231 0.250 0.282
2 Ge 0.119 0.250 0.552
3 Te 0.123 0.250 0.792
4 Te 0.337 0.750 0.576
5 Te 0.402 0.750 0.103
6 As 0.364 0.750 0.849

Values from the calculation:
Raw formation energy = -0.330 eV per atom
Magnetic moment = 0.0 Bohr magnetons per cell

---

12.
The following is a PBE calculation of crystalline KYGeAs2 at its relaxed geometry, from the Alexandria database.

Cell: 5.208 5.208 5.169 Å, 90.00 90.00 90.00°
Space group P4/mmm (No. 123)
Inequivalent atoms, fractional coordinates:
1 K 0.000 0.000 0.000
2 Y 0.500 0.500 0.000
3 Ge 0.000 0.000 0.500
4 As 0.000 0.500 0.500

Values from the calculation:
Energy relative to the elements = 0.393 eV per atom
Magnetic moment = 0.0 Bohr magnetons per cell